GdFe2Ge2 | SCAN | PBEsol geometry

The structure in POSCAR format:
```
GdFe2Ge2
1.0
-1.359 -3.722 -0.324
0.122 -0.389 3.954
-4.010 3.719 -1.508
Ge Gd Fe
2 1 2
direct
0.632 0.632 0.264
0.368 0.368 0.736
0.000 0.000 0.000
0.250 0.750 0.500
0.750 0.250 0.500
```

N(E_F): 0.43 states/eV/atom
Uncorrected energy: -27.05 eV per atom
Mass density: 8.83 g/cm³
Space group: I4/mmm (139)